Density functional theory data (PBE+U) for a geometry-optimized CsScFe2F8 structure.

Summary:
* VASP energy: -66.40 eV per cell
* size of the total moment: 8.0 μB per formula unit
* space-group type: No. 148

Geometry as CIF:
```
data_CsScFe2F8
_chemical_formula_sum 'Cs1 Sc1 Fe2 F8'
_symmetry_space_group_name_H-M 'P 1'
_symmetry_Int_Tables_number 1
_cell_length_a 8.733
_cell_length_b 8.733
_cell_length_c 8.733
_cell_angle_alpha 37.09
_cell_angle_beta 37.09
_cell_angle_gamma 37.09
loop_
_symmetry_equiv_pos_as_xyz
'x,y,z'
loop_
_atom_site_label
_atom_site_type_symbol
_atom_site_fract_x
_atom_site_fract_y
_atom_site_fract_z
_atom_site_occupancy
Cs1 Cs 0.000 0.000 0.000 1
Sc1 Sc 0.500 0.500 0.500 1
Fe1 Fe 0.242 0.242 0.242 1
Fe2 Fe 0.758 0.758 0.758 1
F1 F 0.144 0.466 0.747 1
F2 F 0.253 0.856 0.534 1
F3 F 0.319 0.319 0.319 1
F4 F 0.466 0.747 0.144 1
F5 F 0.534 0.253 0.856 1
F6 F 0.681 0.681 0.681 1
F7 F 0.747 0.144 0.466 1
F8 F 0.856 0.534 0.253 1
```